Below is a geometry-optimized Ce6CdIr structure, with properties calculated at the PBE level.

Lattice parameters (Å, degrees): 6.2044 6.2044 6.3302 101.24 101.24 101.95
Last column: magnetic moment on the atom in μB.
Atoms (fractional coordinates):
Ce1 0.1824 0.1824 0.6005  0.34
Ce2 0.5854 0.1669 0.1924  0.43
Ce3 0.8176 0.8176 0.3995  0.34
Ce4 0.8331 0.4146 0.8076  0.43
Ce5 0.4146 0.8331 0.8076  0.43
Ce6 0.1669 0.5854 0.1924  0.43
Cd1 0.0000 0.0000 0.0000  0.00
Ir1 0.5000 0.5000 0.5000  -0.03

Values from the calculation:
SG: C2/m (12)
N(E_F): 3.043 states/eV per atom
final energy: -46.2 eV/cell

=====

Below is a geometry-optimized CeCdIr structure, with properties calculated at the PBE level.

Lattice parameters (Å, degrees): 4.7887 4.7813 8.0170 107.45 90.00 120.05
Last column: magnetic moment on the atom in μB.
Atoms (fractional coordinates):
Ce1 0.1165 0.2330 0.8497  0.43
Ce2 0.8835 0.7670 0.1503  0.43
Cd1 0.3666 0.7332 0.6006  0.01
Cd2 0.6334 0.2668 0.3994  0.01
Ir1 0.2425 0.4851 0.2262  -0.04
Ir2 0.7575 0.5149 0.7738  -0.04

Values from the calculation:
SG: C2/m (12)
N(E_F): 1.712 states/eV per atom
final energy: -33.5 eV/cell

=====

Below is a geometry-optimized CeCdIr structure, with properties calculated at the PBE level.

Lattice parameters (Å, degrees): 4.7240 4.7240 4.7240 60.00 60.00 60.00
Last column: magnetic moment on the atom in μB.
Atoms (fractional coordinates):
Ir1 0.2500 0.2500 0.2500  -0.03
Ce1 0.5000 0.5000 0.5000  0.48
Cd1 0.0000 0.0000 0.0000  0.01

Values from the calculation:
SG: F-43m (216)
N(E_F): 1.827 states/eV per atom
final energy: -16.8 eV/cell

=====

Below is a geometry-optimized CeCdIr structure, with properties calculated at the PBE level.

Lattice parameters (Å, degrees): 3.3946 3.3946 6.3044 105.62 105.62 90.00
Last column: magnetic moment on the atom in μB.
Atoms (fractional coordinates):
Ir1 0.6220 0.6220 0.2439  -0.05
Ce1 0.2547 0.2547 0.5095  0.46
Cd1 0.9733 0.9733 0.9466  0.01

Values from the calculation:
SG: I4mm (107)
N(E_F): 1.522 states/eV per atom
final energy: -16.7 eV/cell